(1)
Computed, not measured: LiCoIr2 at its PBEsol-relaxed geometry at the SCAN level of DFT.

```
LiCoIr2
1.0
-3.205 -0.170 -2.488
-1.760 -3.570 -0.803
-3.685 -0.828 1.490
Li Ir Co
1 2 1
Cartesian
-4.325 -2.284 -0.900
-6.487 -3.426 -1.350
-2.162 -1.142 -0.450
0.000 0.000 0.000
```

Summary:
Raw total energy ... -161.6 eV per cell

(2)
Computed, not measured: Ag2Pt at its PBEsol-relaxed geometry at the SCAN level of DFT.

```
Ag2Pt
1.0
3.999 0.000 0.000
0.000 3.999 0.000
-1.999 -1.999 11.918
Ag Pt
8 4
Cartesian
1.999 0.000 3.977
1.999 0.000 0.008
1.999 1.999 5.951
1.999 1.999 1.982
0.000 0.000 5.967
1.999 0.000 7.942
0.000 0.000 9.936
1.999 0.000 11.910
0.000 0.000 2.023
0.000 1.999 7.983
1.999 1.999 9.895
0.000 1.999 3.936
```

Summary:
Raw total energy ... -531.4 eV per cell

(3)
Computed, not measured: MgCdPb2 at its PBEsol-relaxed geometry at the SCAN level of DFT.

```
MgCdPb2
1.0
3.315 0.000 0.000
0.000 4.314 0.000
0.000 0.000 7.213
Mg Cd Pb
1 1 2
Cartesian
1.658 2.157 5.269
0.000 0.000 3.772
0.000 0.000 7.031
1.658 2.157 1.960
```

Summary:
Raw total energy ... -187.1 eV per cell

(4)
Computed, not measured: LiCr3O8 at its PBEsol-relaxed geometry at the SCAN level of DFT.

```
LiCr3O8
1.0
-1.708 -3.705 3.576
5.822 -0.851 1.899
-0.976 5.879 5.626
O Cr Li
16 6 2
Cartesian
2.155 -0.967 4.143
2.759 -0.696 6.819
0.298 -2.816 3.350
3.633 1.200 4.989
4.785 3.494 5.907
-1.489 2.590 6.089
4.628 -1.268 5.012
0.983 2.289 6.958
1.132 -1.006 1.604
0.061 1.533 1.618
2.292 3.919 5.156
2.841 4.138 7.751
-0.495 0.122 6.112
2.554 1.109 2.369
0.379 2.018 4.282
2.007 2.329 9.497
2.057 -2.278 2.738
1.437 0.642 1.351
3.410 4.386 6.174
-0.488 2.939 2.813
3.296 -0.443 5.231
-0.157 1.765 5.870
2.423 2.514 3.763
-0.854 -1.853 1.788
```

Summary:
Energy relative to the elements, uncorrected ... -2089 meV per atom

Repeat the third record exactly.
Computed, not measured: MgCdPb2 at its PBEsol-relaxed geometry at the SCAN level of DFT.

```
MgCdPb2
1.0
3.315 0.000 0.000
0.000 4.314 0.000
0.000 0.000 7.213
Mg Cd Pb
1 1 2
Cartesian
1.658 2.157 5.269
0.000 0.000 3.772
0.000 0.000 7.031
1.658 2.157 1.960
```

Summary:
Raw total energy ... -187.1 eV per cell